Here is AlVAgO2 after structural relaxation from the Alexandria database. Energies are from GGA+U.

a = 3.651 Å, b = 6.434 Å, c = 3.651 Å
α = 90.00°, β = 90.00°, γ = 90.00°
Last column: magnetic moment on the atom in μB.
Element x y z (fractional)
V1 0.000 0.500 0.000  1.29
Ag1 0.500 0.500 0.500  -0.04
Al1 0.000 0.000 0.000  0.00
O1 0.500 0.000 0.000  0.08
O2 0.000 0.000 0.500  0.09

Space-group type ... P4/mmm
Energy ... -24.46 eV for the cell shown
Magnetization ... 1.731 μB per formula unit
Crystal system ... tetragonal